[1]
# La2Ir2Pb | the Alexandria database | PBE-GGA | relaxed
# DFT formation energy   -2.268 eV per formula unit
data_La2Ir2Pb
_chemical_formula_sum 'La4 Ir4 Pb2'
_space_group_name_H-M_alt 'I 4/m m m'
_space_group_IT_number 139
_space_group_name_Hall '-I 4 2'
_cell_length_a 5.7270
_cell_length_b 5.7270
_cell_length_c 8.1396
_cell_angle_alpha 90.00
_cell_angle_beta 90.00
_cell_angle_gamma 90.00
loop_
_atom_site_label
_atom_site_type_symbol
_atom_site_fract_x
_atom_site_fract_y
_atom_site_fract_z
_atom_site_occupancy
La1 La 0.0000 0.5000 0.2500 1
Ir1 Ir 0.0000 0.0000 0.1607 1
Pb1 Pb 0.0000 0.0000 0.5000 1

[2]
# LaIrPb2 | the Alexandria database | PBE-GGA | relaxed
# DFT formation energy   0.080 eV per formula unit
data_LaIrPb2
_chemical_formula_sum 'La2 Ir2 Pb4'
_space_group_name_H-M_alt 'I 4/m m m'
_space_group_IT_number 139
_space_group_name_Hall '-I 4 2'
_cell_length_a 4.6681
_cell_length_b 4.6681
_cell_length_c 9.4217
_cell_angle_alpha 90.00
_cell_angle_beta 90.00
_cell_angle_gamma 90.00
loop_
_atom_site_label
_atom_site_type_symbol
_atom_site_fract_x
_atom_site_fract_y
_atom_site_fract_z
_atom_site_occupancy
La1 La 0.0000 0.0000 0.0000 1
Ir1 Ir 0.0000 0.0000 0.5000 1
Pb1 Pb 0.0000 0.5000 0.2500 1

[3]
# La2IrPb | the Alexandria database | PBE-GGA | relaxed
# DFT formation energy   -2.675 eV per formula unit
data_La2IrPb
_chemical_formula_sum 'La8 Ir4 Pb4'
_space_group_name_H-M_alt 'C m c m'
_space_group_IT_number 63
_space_group_name_Hall '-C 2c 2'
_cell_length_a 4.1520
_cell_length_b 15.3461
_cell_length_c 7.4354
_cell_angle_alpha 90.00
_cell_angle_beta 90.00
_cell_angle_gamma 90.00
loop_
_atom_site_label
_atom_site_type_symbol
_atom_site_fract_x
_atom_site_fract_y
_atom_site_fract_z
_atom_site_occupancy
La1 La 0.0000 0.1444 0.0007 1
Ir1 Ir 0.0000 0.3052 0.7500 1
Pb1 Pb 0.0000 0.4989 0.2500 1

[4]
# LaIr2Pb | the Alexandria database | PBE-GGA | relaxed
# DFT formation energy   0.130 eV per formula unit
data_LaIr2Pb
_chemical_formula_sum 'La1 Ir2 Pb1'
_space_group_name_H-M_alt 'P 4/m m m'
_space_group_IT_number 123
_space_group_name_Hall '-P 4 2'
_cell_length_a 3.3374
_cell_length_b 3.3374
_cell_length_c 7.6065
_cell_angle_alpha 90.00
_cell_angle_beta 90.00
_cell_angle_gamma 90.00
loop_
_atom_site_label
_atom_site_type_symbol
_atom_site_fract_x
_atom_site_fract_y
_atom_site_fract_z
_atom_site_occupancy
La1 La 0.0000 0.0000 0.0000 1
Ir1 Ir 0.5000 0.5000 0.2737 1
Pb1 Pb 0.0000 0.0000 0.5000 1

[5]
# La5Ir2Pb2 | the Alexandria database | PBE-GGA | relaxed
# DFT formation energy   -5.642 eV per formula unit
data_La5Ir2Pb2
_chemical_formula_sum 'La20 Ir8 Pb8'
_space_group_name_H-M_alt 'C m c e'
_space_group_IT_number 64
_space_group_name_Hall '-C 2ac 2'
_cell_length_a 16.4692
_cell_length_b 8.8541
_cell_length_c 7.4829
_cell_angle_alpha 90.00
_cell_angle_beta 90.00
_cell_angle_gamma 90.00
loop_
_atom_site_label
_atom_site_type_symbol
_atom_site_fract_x
_atom_site_fract_y
_atom_site_fract_z
_atom_site_occupancy
La1 La 0.0000 0.0000 0.0000 1
La2 La 0.1174 0.1794 0.3517 1
Ir1 Ir 0.0000 0.1217 0.6398 1
Pb1 Pb 0.2151 0.0000 0.0000 1

[6]
# La2IrPb | the Alexandria database | PBE-GGA | relaxed
# DFT formation energy   -2.540 eV per formula unit
data_La2IrPb
_chemical_formula_sum 'La2 Ir1 Pb1'
_space_group_name_H-M_alt 'P 4/m m m'
_space_group_IT_number 123
_space_group_name_Hall '-P 4 2'
_cell_length_a 3.6275
_cell_length_b 3.6275
_cell_length_c 8.4482
_cell_angle_alpha 90.00
_cell_angle_beta 90.00
_cell_angle_gamma 90.00
loop_
_atom_site_label
_atom_site_type_symbol
_atom_site_fract_x
_atom_site_fract_y
_atom_site_fract_z
_atom_site_occupancy
La1 La 0.0000 0.0000 0.2030 1
Ir1 Ir 0.5000 0.5000 0.0000 1
Pb1 Pb 0.5000 0.5000 0.5000 1

[7]
# LaIrPb3 | the Alexandria database | PBE-GGA | relaxed
# DFT formation energy   8.342 eV per formula unit
# Excess energy over the best structure of this formula in the dataset   1510 meV/atom
data_LaIrPb3
_chemical_formula_sum 'La1 Ir1 Pb3'
_space_group_name_H-M_alt 'P m -3 m'
_space_group_IT_number 221
_space_group_name_Hall '-P 4 2 3'
_cell_length_a 5.9399
_cell_length_b 5.9399
_cell_length_c 5.9399
_cell_angle_alpha 90.00
_cell_angle_beta 90.00
_cell_angle_gamma 90.00
loop_
_atom_site_label
_atom_site_type_symbol
_atom_site_fract_x
_atom_site_fract_y
_atom_site_fract_z
_atom_site_occupancy
La1 La 0.0000 0.0000 0.0000 1
Ir1 Ir 0.5000 0.5000 0.5000 1
Pb1 Pb 0.0000 0.0000 0.5000 1

[8]
# LaIr4Pb | the Alexandria database | PBE-GGA | relaxed
# DFT formation energy   -1.488 eV per formula unit
data_LaIr4Pb
_chemical_formula_sum 'La4 Ir16 Pb4'
_space_group_name_H-M_alt 'F -4 3 m'
_space_group_IT_number 216
_space_group_name_Hall 'F -4 2 3'
_cell_length_a 7.7000
_cell_length_b 7.7000
_cell_length_c 7.7000
_cell_angle_alpha 90.00
_cell_angle_beta 90.00
_cell_angle_gamma 90.00
loop_
_atom_site_label
_atom_site_type_symbol
_atom_site_fract_x
_atom_site_fract_y
_atom_site_fract_z
_atom_site_occupancy
La1 La 0.0000 0.0000 0.0000 1
Ir1 Ir 0.1244 0.1244 0.3756 1
Pb1 Pb 0.2500 0.2500 0.7500 1